## Na2Cd2Ag (PBE)

Data for an optimized crystal structure of Na2Cd2Ag.

Computed properties:
M_tot ... 0.00 μB per formula unit
Energy of formation ... -0.08 eV/atom
N(E_F) ... 3.6 states/eV per cell

a = 5.6067 Å, b = 5.6067 Å, c = 10.8142 Å
α = 104.21°, β = 104.21°, γ = 49.09°
Closest atoms and distances in Å follow each position.
Element x y z (fractional)
Na (0.0063, 0.0063, 0.1510)  2 Ag 3.07, 6 Cd 3.20-3.32, 3 Na 3.23-3.42
Na (0.3722, 0.3722, 0.3142)  3 Ag 3.06-3.10, 3 Cd 3.28-3.40, 2 Na 3.42
Na (0.6278, 0.6278, 0.6858)  3 Ag 3.06-3.10, 3 Cd 3.28-3.40, 2 Na 3.42
Na (0.9937, 0.9937, 0.8490)  2 Ag 3.07, 6 Cd 3.20-3.32, 3 Na 3.23-3.42
Cd (0.1265, 0.1265, 0.4566)  3 Ag 2.85-2.95, 1 Cd 2.97
Cd (0.3260, 0.3260, 0.9605)  1 Ag 2.87, 2 Cd 3.05
Cd (0.6740, 0.6740, 0.0395)  1 Ag 2.87, 2 Cd 3.05
Cd (0.8735, 0.8735, 0.5434)  3 Ag 2.85-2.95, 1 Cd 2.97
Ag (0.3303, 0.3303, 0.6958)  4 Cd 2.85-2.95, 5 Na 3.06-3.10
Ag (0.6697, 0.6697, 0.3042)  4 Cd 2.85-2.95, 5 Na 3.06-3.10



## Na4Cd2Ag3 (PBE)

Data for an optimized crystal structure of Na4Cd2Ag3.

Computed properties:
M_tot ... 0.00 μB per formula unit
Energy of formation ... -0.03 eV/atom
N(E_F) ... 3.5 states/eV per cell

a = 5.7124 Å, b = 5.7124 Å, c = 9.3532 Å
α = 112.98°, β = 112.98°, γ = 47.41°
Closest atoms and distances in Å follow each position.
Element x y z (fractional)
Na (0.0185, 0.0185, 0.3455)  4 Ag 2.97-3.15, 3 Na 3.08-3.16, 3 Cd 3.24-3.26
Na (0.3388, 0.3388, 0.1151)  4 Ag 3.10-3.29, 4 Na 3.15-3.16, 4 Cd 3.23-3.33
Na (0.6612, 0.6612, 0.8849)  4 Ag 3.10-3.29, 4 Na 3.15-3.16, 4 Cd 3.23-3.33
Na (0.9815, 0.9815, 0.6545)  4 Ag 2.97-3.15, 3 Na 3.08-3.16, 3 Cd 3.24-3.26
Cd (0.3218, 0.3218, 0.7613)  5 Ag 3.01-3.19, 7 Na 3.23-3.33
Cd (0.6782, 0.6782, 0.2387)  5 Ag 3.01-3.19, 7 Na 3.23-3.33
Ag (0.0000, 0.0000, 0.0000)  8 Na 3.15-3.29, 4 Cd 3.19
Ag (0.3384, 0.3384, 0.4466)  4 Na 2.97-3.10, 3 Cd 3.01-3.02, 1 Ag 3.09
Ag (0.6616, 0.6616, 0.5534)  4 Na 2.97-3.10, 3 Cd 3.01-3.02, 1 Ag 3.09



## NaCd6Ag8 (PBE)

Data for an optimized crystal structure of NaCd6Ag8.

Computed properties:
M_tot ... 0.00 μB per formula unit
Energy of formation ... 0.03 eV/atom
N(E_F) ... 4.6 states/eV per cell

a = 7.1942 Å, b = 7.1942 Å, c = 7.1942 Å
α = 70.75°, β = 70.75°, γ = 70.75°
Closest atoms and distances in Å follow each position.
Element x y z (fractional)
Na (0.0000, 0.0000, 0.0000)  6 Cd 3.32, 8 Ag 3.40-3.43
Cd (0.1582, 0.5910, 0.3481)  4 Ag 2.81-3.06, 3 Cd 2.91-3.13
Cd (0.3481, 0.1582, 0.5910)  4 Ag 2.81-3.06, 3 Cd 2.91-3.13
Cd (0.4090, 0.6519, 0.8418)  4 Ag 2.81-3.06, 3 Cd 2.91-3.13
Cd (0.5910, 0.3481, 0.1582)  4 Ag 2.81-3.06, 3 Cd 2.91-3.13
Cd (0.6519, 0.8418, 0.4090)  4 Ag 2.81-3.06, 3 Cd 2.91-3.13
Cd (0.8418, 0.4090, 0.6519)  4 Ag 2.81-3.06, 3 Cd 2.91-3.13
Ag (0.1384, 0.4520, 0.8167)  3 Cd 2.81-2.90, 5 Ag 2.87-3.00
Ag (0.1833, 0.8616, 0.5480)  3 Cd 2.81-2.90, 5 Ag 2.87-3.00
Ag (0.2118, 0.2118, 0.2118)  6 Ag 2.87-2.91, 3 Cd 3.06
Ag (0.4520, 0.8167, 0.1384)  3 Cd 2.81-2.90, 5 Ag 2.87-3.00
Ag (0.5480, 0.1833, 0.8616)  3 Cd 2.81-2.90, 5 Ag 2.87-3.00
Ag (0.7882, 0.7882, 0.7882)  6 Ag 2.87-2.91, 3 Cd 3.06
Ag (0.8167, 0.1384, 0.4520)  3 Cd 2.81-2.90, 5 Ag 2.87-3.00
Ag (0.8616, 0.5480, 0.1833)  3 Cd 2.81-2.90, 5 Ag 2.87-3.00



## Na2Cd8Ag (PBE)

Data for an optimized crystal structure of Na2Cd8Ag.

Computed properties:
M_tot ... 0.00 μB per formula unit
Energy of formation ... -0.03 eV/atom
N(E_F) ... 3.4 states/eV per cell

a = 5.4045 Å, b = 6.1464 Å, c = 8.3453 Å
α = 69.73°, β = 89.97°, γ = 89.99°
Closest atoms and distances in Å follow each position.
Element x y z (fractional)
Na (0.0009, 0.2063, 0.0940)  8 Cd 3.18-3.46, 2 Na 3.40-3.41
Na (0.9991, 0.7937, 0.9060)  8 Cd 3.18-3.46, 2 Na 3.40-3.41
Cd (0.0007, 0.6146, 0.3126)  5 Cd 2.95-3.30, 2 Ag 3.08, 1 Na 3.18
Cd (0.2473, 0.9996, 0.4998)  2 Cd 2.67-2.73
Cd (0.4988, 0.0984, 0.8149)  7 Cd 2.90-3.20, 1 Ag 2.92, 2 Na 3.22-3.23
Cd (0.4992, 0.5882, 0.8144)  1 Ag 2.86, 3 Cd 2.91-3.14, 2 Na 3.19
Cd (0.5008, 0.4118, 0.1856)  1 Ag 2.86, 3 Cd 2.91-3.14, 2 Na 3.19
Cd (0.5012, 0.9016, 0.1851)  7 Cd 2.90-3.20, 1 Ag 2.92, 2 Na 3.22-3.23
Cd (0.7527, 0.0004, 0.5002)  2 Cd 2.67-2.73
Cd (0.9993, 0.3854, 0.6874)  5 Cd 2.95-3.30, 2 Ag 3.08, 1 Na 3.18
Ag (0.5000, 0.5000, 0.5000)  8 Cd 2.86-3.08



## Na2Cd3Ag2 (PBE)

Data for an optimized crystal structure of Na2Cd3Ag2.

Computed properties:
M_tot ... 0.00 μB per formula unit
Energy of formation ... -0.09 eV/atom
N(E_F) ... 2.0 states/eV per cell

a = 5.6775 Å, b = 5.6775 Å, c = 7.3217 Å
α = 110.08°, β = 110.08°, γ = 49.22°
Closest atoms and distances in Å follow each position.
Element x y z (fractional)
Na (0.1476, 0.1476, 0.2699)  4 Ag 2.98-3.23, 3 Cd 3.25-3.31
Na (0.8524, 0.8524, 0.7301)  4 Ag 2.98-3.23, 3 Cd 3.25-3.31
Cd (0.3732, 0.3732, 0.0571)  3 Ag 2.85-2.98, 2 Cd 3.00-3.03
Cd (0.5000, 0.5000, 0.5000)  4 Ag 2.84, 2 Cd 3.00
Cd (0.6268, 0.6268, 0.9429)  3 Ag 2.85-2.98, 2 Cd 3.00-3.03
Ag (0.1323, 0.1323, 0.6989)  5 Cd 2.84-2.98, 1 Na 2.98, 1 Ag 3.15
Ag (0.8677, 0.8677, 0.3011)  5 Cd 2.84-2.98, 1 Na 2.98, 1 Ag 3.15



## Na5Cd12Ag2 (PBE)

Data for an optimized crystal structure of Na5Cd12Ag2.

Computed properties:
M_tot ... 0.00 μB per formula unit
Energy of formation ... -0.06 eV/atom
N(E_F) ... 7.6 states/eV per cell

a = 8.3452 Å, b = 8.3452 Å, c = 7.5582 Å
α = 91.96°, β = 91.96°, γ = 58.33°
Closest atoms and distances in Å follow each position.
Element x y z (fractional)
Na (0.0000, 0.0000, 0.0000)  10 Cd 3.18-3.30, 2 Na 3.54
Na (0.2414, 0.2414, 0.0719)  10 Cd 3.09-3.40, 1 Na 3.26
Na (0.2996, 0.2996, 0.4933)  8 Cd 3.14-3.36, 1 Na 3.26, 2 Ag 3.27
Na (0.7004, 0.7004, 0.5067)  8 Cd 3.14-3.36, 1 Na 3.26, 2 Ag 3.27
Na (0.7586, 0.7586, 0.9281)  10 Cd 3.09-3.40, 1 Na 3.26
Cd (0.0370, 0.6693, 0.2503)  4 Cd 2.99-3.34, 1 Ag 3.00, 4 Na 3.13-3.30
Cd (0.0850, 0.0850, 0.3946)  2 Ag 2.99, 5 Cd 3.00-3.17, 2 Na 3.18-3.19
Cd (0.1743, 0.5740, 0.8235)  5 Cd 3.02-3.34, 4 Na 3.09-3.30, 1 Ag 3.12
Cd (0.3307, 0.9630, 0.7497)  4 Cd 2.99-3.34, 1 Ag 3.00, 4 Na 3.13-3.30
Cd (0.4260, 0.8257, 0.1765)  5 Cd 3.02-3.34, 4 Na 3.09-3.30, 1 Ag 3.12
Cd (0.4500, 0.4500, 0.1715)  2 Ag 2.96, 7 Cd 3.00-3.25, 1 Na 3.10
Cd (0.5500, 0.5500, 0.8285)  2 Ag 2.96, 7 Cd 3.00-3.25, 1 Na 3.10
Cd (0.5740, 0.1743, 0.8235)  5 Cd 3.02-3.34, 4 Na 3.09-3.30, 1 Ag 3.12
Cd (0.6693, 0.0370, 0.2503)  4 Cd 2.99-3.34, 1 Ag 3.00, 4 Na 3.13-3.30
Cd (0.8257, 0.4260, 0.1765)  5 Cd 3.02-3.34, 4 Na 3.09-3.30, 1 Ag 3.12
Cd (0.9150, 0.9150, 0.6054)  2 Ag 2.99, 5 Cd 3.00-3.17, 2 Na 3.18-3.19
Cd (0.9630, 0.3307, 0.7497)  4 Cd 2.99-3.34, 1 Ag 3.00, 4 Na 3.13-3.30
Ag (0.3179, 0.6821, 0.5000)  8 Cd 2.96-3.12, 1 Ag 2.96, 2 Na 3.27
Ag (0.6821, 0.3179, 0.5000)  8 Cd 2.96-3.12, 1 Ag 2.96, 2 Na 3.27



## Na3Cd2Ag2 (PBE)

Data for an optimized crystal structure of Na3Cd2Ag2.

Computed properties:
M_tot ... 0.00 μB per formula unit
Energy of formation ... 0.03 eV/atom
N(E_F) ... 2.4 states/eV per cell

a = 3.5158 Å, b = 3.2147 Å, c = 15.9782 Å
α = 90.00°, β = 96.20°, γ = 90.00°
Closest atoms and distances in Å follow each position.
Element x y z (fractional)
Na (0.0000, 0.0000, 0.0000)  4 Cd 3.17, 4 Na 3.21-3.52
Na (0.3015, 0.0000, 0.6001)  4 Ag 3.12, 2 Na 3.21
Na (0.6985, 0.0000, 0.3999)  4 Ag 3.12, 2 Na 3.21
Cd (0.4164, 0.0000, 0.8339)  4 Ag 2.92, 2 Na 3.17, 2 Cd 3.21
Cd (0.5836, 0.0000, 0.1661)  4 Ag 2.92, 2 Na 3.17, 2 Cd 3.21
Ag (0.1359, 0.5000, 0.2728)  4 Cd 2.92, 4 Na 3.12, 2 Ag 3.21
Ag (0.8641, 0.5000, 0.7272)  4 Cd 2.92, 4 Na 3.12, 2 Ag 3.21



## Na4Cd2Ag (PBE)

Data for an optimized crystal structure of Na4Cd2Ag.

Computed properties:
M_tot ... 0.00 μB per formula unit
Energy of formation ... -0.06 eV/atom
N(E_F) ... 4.6 states/eV per cell

a = 6.4016 Å, b = 7.6689 Å, c = 9.3268 Å
α = 74.31°, β = 70.20°, γ = 66.40°
Closest atoms and distances in Å follow each position.
Element x y z (fractional)
Na (0.0000, 0.0000, 0.0000)  2 Ag 3.08-3.16, 4 Cd 3.21-3.44, 2 Na 3.25-3.26
Na (0.0025, 0.4629, 0.5366)  2 Ag 3.08-3.16, 4 Cd 3.21-3.44, 2 Na 3.25-3.26
Na (0.0306, 0.5028, 0.9048)  1 Ag 3.09, 3 Cd 3.28-3.45
Na (0.4527, 0.4698, 0.1430)  2 Ag 3.15-3.19, 2 Cd 3.19-3.51, 1 Na 3.46
Na (0.4948, 0.5284, 0.4859)  2 Ag 3.11-3.18, 3 Na 3.25-3.46, 4 Cd 3.32-3.46
Na (0.5092, 0.9323, 0.0499)  2 Ag 3.12-3.17, 3 Na 3.25-3.46, 4 Cd 3.32-3.46
Na (0.5501, 0.9910, 0.3936)  2 Ag 3.15-3.19, 2 Cd 3.19-3.50, 1 Na 3.46
Na (0.9721, 0.9592, 0.6317)  1 Ag 3.09, 3 Cd 3.27-3.45
Cd (0.0029, 0.2308, 0.2682)  2 Ag 2.82
Cd (0.3787, 0.1450, 0.7137)  2 Cd 2.89-2.94, 3 Na 3.19-3.23
Cd (0.5002, 0.7309, 0.7685)  2 Cd 2.89
Cd (0.6232, 0.3169, 0.8225)  2 Cd 2.89-2.94, 3 Na 3.19-3.23
Ag (0.1061, 0.8286, 0.3168)  1 Cd 2.82, 1 Ag 2.83, 5 Na 3.08-3.16
Ag (0.8972, 0.6333, 0.2194)  1 Cd 2.82, 1 Ag 2.83, 5 Na 3.08-3.16



## Na3Cd5Ag (PBE)

Data for an optimized crystal structure of Na3Cd5Ag.

Computed properties:
M_tot ... 0.00 μB per formula unit
Energy of formation ... 0.04 eV/atom
N(E_F) ... 6.8 states/eV per cell

a = 8.6766 Å, b = 8.6766 Å, c = 8.6766 Å
α = 117.21°, β = 117.21°, γ = 94.91°
Closest atoms and distances in Å follow each position.
Element x y z (fractional)
Na (0.1150, 0.6150, 0.7299)  1 Na 2.94, 2 Cd 2.96, 2 Ag 3.28
Na (0.2500, 0.2500, 0.0000)  2 Cd 2.93
Na (0.3850, 0.1150, 0.5000)  1 Na 2.94, 2 Cd 2.96, 2 Ag 3.28
Na (0.6150, 0.8850, 0.5000)  1 Na 2.94, 2 Cd 2.96, 2 Ag 3.28
Na (0.7500, 0.7500, 0.0000)  2 Cd 2.93
Na (0.8850, 0.3850, 0.2701)  1 Na 2.94, 2 Cd 2.96, 2 Ag 3.28
Cd (0.0000, 0.0000, 0.0000)  2 Na 2.93
Cd (0.0522, 0.1686, 0.5000)  1 Ag 2.77, 1 Na 2.96, 1 Cd 2.99
Cd (0.1686, 0.6686, 0.1164)  1 Ag 2.77, 1 Na 2.96, 1 Cd 2.99
Cd (0.3314, 0.4478, 0.5000)  1 Ag 2.77, 1 Na 2.96, 1 Cd 2.99
Cd (0.4478, 0.9478, 0.1164)  1 Ag 2.77, 1 Na 2.96, 1 Cd 2.99
Cd (0.5000, 0.5000, 0.0000)  2 Na 2.93
Cd (0.5522, 0.0522, 0.8836)  1 Ag 2.77, 1 Na 2.96, 1 Cd 2.99
Cd (0.6686, 0.5522, 0.5000)  1 Ag 2.77, 1 Na 2.96, 1 Cd 2.99
Cd (0.8314, 0.3314, 0.8836)  1 Ag 2.77, 1 Na 2.96, 1 Cd 2.99
Cd (0.9478, 0.8314, 0.5000)  1 Ag 2.77, 1 Na 2.96, 1 Cd 2.99
Ag (0.2500, 0.7500, 0.5000)  4 Cd 2.77
Ag (0.7500, 0.2500, 0.5000)  4 Cd 2.77



## NaCdAg4 (PBE)

Data for an optimized crystal structure of NaCdAg4.

Computed properties:
M_tot ... 0.00 μB per formula unit
Energy of formation ... 0.06 eV/atom
N(E_F) ... 3.1 states/eV per cell

a = 8.2263 Å, b = 4.1772 Å, c = 7.2862 Å
α = 90.00°, β = 90.00°, γ = 90.00°
Closest atoms and distances in Å follow each position.
Element x y z (fractional)
Na (0.2500, 0.0000, 0.1635)  1 Cd 2.89, 8 Ag 3.05-3.20
Na (0.7500, 0.0000, 0.8365)  1 Cd 2.89, 8 Ag 3.05-3.20
Cd (0.2500, 0.0000, 0.7663)  8 Ag 2.83-3.00, 1 Na 2.89
Cd (0.7500, 0.0000, 0.2337)  8 Ag 2.83-3.00, 1 Na 2.89
Ag (0.0000, 0.0000, 0.5000)  2 Cd 2.83, 8 Ag 2.94-3.03
Ag (0.0180, 0.5000, 0.8014)  2 Cd 2.84, 5 Ag 2.91-3.08, 2 Na 3.05
Ag (0.2500, 0.5000, 0.4705)  8 Ag 2.94-3.08, 2 Cd 3.00, 2 Na 3.06
Ag (0.4820, 0.5000, 0.8014)  2 Cd 2.84, 5 Ag 2.91-3.08, 2 Na 3.05
Ag (0.5000, 0.0000, 0.5000)  2 Cd 2.83, 8 Ag 2.94-3.03
Ag (0.5180, 0.5000, 0.1986)  2 Cd 2.84, 5 Ag 2.91-3.08, 2 Na 3.05
Ag (0.7500, 0.5000, 0.5295)  8 Ag 2.94-3.08, 2 Cd 3.00, 2 Na 3.06
Ag (0.9820, 0.5000, 0.1986)  2 Cd 2.84, 5 Ag 2.91-3.08, 2 Na 3.05



## Na5Cd2Ag4 (PBE)

Data for an optimized crystal structure of Na5Cd2Ag4.

Computed properties:
M_tot ... 0.00 μB per formula unit
Energy of formation ... 0.03 eV/atom
N(E_F) ... 3.2 states/eV per cell

a = 8.2058 Å, b = 8.2058 Å, c = 10.2696 Å
α = 91.32°, β = 91.32°, γ = 21.71°
Closest atoms and distances in Å follow each position.
Element x y z (fractional)
Na (0.0000, 0.0000, 0.0000)  2 Na 3.09, 4 Cd 3.39, 4 Ag 3.42
Na (0.2932, 0.2932, 0.3827)  3 Ag 2.92-3.03, 1 Cd 3.08, 4 Na 3.09-3.21
Na (0.3574, 0.3574, 0.7876)  3 Ag 3.02-3.09, 4 Na 3.09-3.34, 1 Cd 3.15
Na (0.6426, 0.6426, 0.2124)  3 Ag 3.02-3.09, 4 Na 3.09-3.34, 1 Cd 3.15
Na (0.7068, 0.7068, 0.6173)  3 Ag 2.92-3.03, 1 Cd 3.08, 4 Na 3.09-3.21
Cd (0.3225, 0.3225, 0.0879)  1 Ag 3.03, 2 Na 3.08-3.15, 4 Cd 3.09-3.30
Cd (0.6775, 0.6775, 0.9121)  1 Ag 3.03, 2 Na 3.08-3.15, 4 Cd 3.09-3.30
Ag (0.0814, 0.0814, 0.4527)  5 Ag 2.82-3.09, 4 Na 3.03-3.09
Ag (0.4627, 0.4627, 0.2896)  2 Na 2.92-3.02, 6 Ag 2.95-3.16, 1 Cd 3.03
Ag (0.5373, 0.5373, 0.7104)  2 Na 2.92-3.02, 6 Ag 2.95-3.16, 1 Cd 3.03
Ag (0.9186, 0.9186, 0.5473)  5 Ag 2.82-3.09, 4 Na 3.03-3.09



## Na5CdAg (PBE)

Data for an optimized crystal structure of Na5CdAg.

Computed properties:
M_tot ... 0.00 μB per formula unit
Energy of formation ... 0.22 eV/atom
N(E_F) ... 4.4 states/eV per cell

a = 7.9353 Å, b = 7.9353 Å, c = 7.9353 Å
α = 111.98°, β = 83.21°, γ = 138.06°
Closest atoms and distances in Å follow each position.
Element x y z (fractional)
Na (0.0000, 0.0000, 0.0000)  2 Cd 2.80-2.88
Na (0.1871, 0.4451, 0.7420)  1 Ag 2.89, 1 Cd 3.08
Na (0.3922, 0.0643, 0.6721)  1 Cd 2.98, 1 Na 3.06, 2 Ag 3.21-3.24
Na (0.3922, 0.7201, 0.3279)  1 Cd 2.98, 1 Na 3.06, 2 Ag 3.21-3.24
Na (0.7031, 0.4451, 0.2580)  1 Ag 2.89, 1 Cd 3.08
Cd (0.5067, 0.5067, 0.0000)  6 Na 2.80-3.08
Ag (0.8901, 0.3901, 0.5000)  4 Na 2.89-3.21